Record 1
Entry from Alexandria via LeMat-Bulk: an optimized crystal structure of SiTc2Ni (GGA-PBE).

Unit cell a=3.9432 b=4.9733 c=4.9733 alpha=32.34 beta=90.00 gamma=90.00
Fractional positions:
Si 0.0000 0.0000 0.0000
Tc 0.0000 0.2596 0.2596
Tc 0.5000 0.6202 0.6202
Ni 0.5000 0.8818 0.8818

Computed properties:
Total moment = 0.000 μB per formula unit
Formation energy from raw total energies = -24 kJ/mol of atoms
Density of states at the Fermi level = 1.002 states/eV/atom
Space-group type = Amm2, No. 38

***

Record 2
Entry from Alexandria via LeMat-Bulk: an optimized crystal structure of TbPm2HoEr6 (GGA-PBE).

Unit cell a=8.7150 b=8.7150 c=9.6198 alpha=94.57 beta=94.57 gamma=118.08
Fractional positions:
Tb 0.0189 0.9811 0.7500
Tb 0.9811 0.0189 0.2500
Pm 0.1938 0.2972 0.5429
Pm 0.2972 0.1938 0.0429
Pm 0.7028 0.8062 0.9571
Pm 0.8062 0.7028 0.4571
Ho 0.4068 0.5932 0.2500
Ho 0.5932 0.4068 0.7500
Er 0.0222 0.5746 0.6860
Er 0.1247 0.7442 0.0572
Er 0.2558 0.8753 0.4428
Er 0.2926 0.5041 0.8807
Er 0.4254 0.9778 0.8140
Er 0.4959 0.7074 0.6193
Er 0.5041 0.2926 0.3807
Er 0.5746 0.0222 0.1860
Er 0.7074 0.4959 0.1193
Er 0.7442 0.1247 0.5572
Er 0.8753 0.2558 0.9428
Er 0.9778 0.4254 0.3140

Computed properties:
Total moment = 0.000 μB per formula unit
Formation enthalpy at 0 K = 0.118 eV/atom
Density of states at the Fermi level = 1.350 states/eV/atom
Space-group type = C2/c, No. 15

***

Record 3
Entry from Alexandria via LeMat-Bulk: an optimized crystal structure of HoScAlIr (GGA-PBE).

Unit cell a=4.8129 b=4.8129 c=4.8129 alpha=60.00 beta=60.00 gamma=60.00
Fractional positions:
Ho 0.0000 0.0000 0.0000
Sc 0.5000 0.5000 0.5000
Al 0.7500 0.7500 0.7500
Ir 0.2500 0.2500 0.2500

Computed properties:
Total moment = 0.000 μB per formula unit
Formation enthalpy at 0 K = -0.623 eV/atom
Density of states at the Fermi level = 0.769 states/eV/atom
Space-group type = F-43m, No. 216

***

Record 4
Entry from Alexandria via LeMat-Bulk: an optimized crystal structure of RuPb2Cl (GGA-PBE).

Unit cell a=3.3702 b=3.4316 c=8.2389 alpha=90.00 beta=91.93 gamma=90.00
Fractional positions:
Ru 0.0000 0.0000 0.0000
Pb 0.4830 0.5000 0.7959
Pb 0.5170 0.5000 0.2041
Cl 0.5000 0.0000 0.5000

Computed properties:
Total moment = 0.000 μB per formula unit
Polymorph energy (0 for the lowest one) = 0.00 kJ per mole of atoms
Formation energy from raw total energies = 1 kJ/mol of atoms
Density of states at the Fermi level = 0.402 states/eV/atom
Space-group type = P2/m, No. 10

***

Record 5
Entry from Alexandria via LeMat-Bulk: an optimized crystal structure of KNaCa2As (GGA-PBE).

Unit cell a=5.7664 b=5.7664 c=6.1168 alpha=90.00 beta=90.00 gamma=90.00
Fractional positions:
K 0.0000 0.0000 0.0000
Na 0.5000 0.5000 0.0000
Ca 0.0000 0.5000 0.5000
Ca 0.5000 0.0000 0.5000
As 0.5000 0.5000 0.5000

Computed properties:
Total moment = 0.422 μB per formula unit
Polymorph energy (0 for the lowest one) = 3.16 kJ per mole of atoms
Formation enthalpy at 0 K = -0.358 eV/atom
Density of states at the Fermi level = 0.722 states/eV/atom
Space-group type = P4/mmm, No. 123

***

Record 6
Entry from Alexandria via LeMat-Bulk: an optimized crystal structure of CsNiS2I (GGA-PBE).

Unit cell a=5.5318 b=5.5318 c=4.7148 alpha=90.00 beta=90.00 gamma=90.00
Fractional positions:
Cs 0.0000 0.0000 0.0000
Ni 0.5000 0.5000 0.0000
S 0.0000 0.5000 0.5000
S 0.5000 0.0000 0.5000
I 0.5000 0.5000 0.5000

Computed properties:
Total moment = 0.335 μB per formula unit
Formation energy from raw total energies = 30 kJ/mol of atoms
Density of states at the Fermi level = 0.997 states/eV/atom
Space-group type = P4/mmm, No. 123

***

Record 7
Entry from Alexandria via LeMat-Bulk: an optimized crystal structure of Tb4Al2ZnCd (GGA-PBE).

Unit cell a=8.9403 b=8.9403 c=8.9403 alpha=33.56 beta=33.56 gamma=33.56
Fractional positions:
Tb 0.1214 0.1214 0.1214
Tb 0.3717 0.3717 0.3717
Tb 0.6283 0.6283 0.6283
Tb 0.8786 0.8786 0.8786
Al 0.2481 0.2481 0.2481
Al 0.7519 0.7519 0.7519
Zn 0.0000 0.0000 0.0000
Cd 0.5000 0.5000 0.5000

Computed properties:
Total moment = 0.000 μB per formula unit
Formation enthalpy at 0 K = -0.367 eV/atom
Density of states at the Fermi level = 0.772 states/eV/atom
Space-group type = R-3m, No. 166

***

Record 8
Entry from Alexandria via LeMat-Bulk: an optimized crystal structure of NaTi3Be (GGA-PBE).

Unit cell a=4.6271 b=4.6271 c=4.6271 alpha=90.00 beta=90.00 gamma=90.00
Fractional positions:
Na 0.0000 0.0000 0.0000
Ti 0.0000 0.0000 0.5000
Ti 0.0000 0.5000 0.0000
Ti 0.5000 0.0000 0.0000
Be 0.5000 0.5000 0.5000

Computed properties:
Total moment = 0.000 μB per formula unit
Polymorph energy (0 for the lowest one) = 109.12 kJ per mole of atoms
Formation enthalpy at 0 K = 1.866 eV/atom
Density of states at the Fermi level = 1.194 states/eV/atom
Space-group type = Pm-3m, No. 221

***

Record 9
Entry from Alexandria via LeMat-Bulk: an optimized crystal structure of Dy3HoRu2 (GGA-PBE).

Unit cell a=6.7664 b=6.7664 c=6.3337 alpha=90.00 beta=90.00 gamma=90.03
Fractional positions:
Dy 0.0678 0.5682 0.2500
Dy 0.0684 0.9316 0.7500
Dy 0.4318 0.9322 0.2500
Dy 0.5682 0.0678 0.7500
Dy 0.9316 0.0684 0.2500
Dy 0.9322 0.4318 0.7500
Ho 0.4325 0.5675 0.7500
Ho 0.5675 0.4325 0.2500
Ru 0.2507 0.2507 0.0000
Ru 0.2507 0.2507 0.5000
Ru 0.7493 0.7493 0.0000
Ru 0.7493 0.7493 0.5000

Computed properties:
Total moment = 0.000 μB per formula unit
Polymorph energy (0 for the lowest one) = 0.00 kJ per mole of atoms
Formation enthalpy at 0 K = -0.344 eV/atom
Density of states at the Fermi level = 0.831 states/eV/atom
Space-group type = Cmcm, No. 63

***

Record 10
Entry from Alexandria via LeMat-Bulk: an optimized crystal structure of Li6IrRh4 (GGA-PBE).

Unit cell a=9.7363 b=9.1070 c=4.6688 alpha=83.29 beta=68.27 gamma=28.44
Fractional positions:
Li 0.1475 0.1475 0.8525
Li 0.1585 0.8415 0.1585
Li 0.2500 0.2500 0.2500
Li 0.7500 0.7500 0.7500
Li 0.8415 0.1585 0.8415
Li 0.8525 0.8525 0.1475
Ir 0.5000 0.5000 0.5000
Rh 0.2105 0.5526 0.4474
Rh 0.4474 0.7895 0.2105
Rh 0.5526 0.2105 0.7895
Rh 0.7895 0.4474 0.5526

Computed properties:
Total moment = 0.000 μB per formula unit
Formation enthalpy at 0 K = -0.055 eV/atom
Density of states at the Fermi level = 0.439 states/eV/atom
Space-group type = Fmmm, No. 69

***

Record 11
Entry from Alexandria via LeMat-Bulk: an optimized crystal structure of Li4CuAu7 (GGA-PBE).

Unit cell a=5.7719 b=5.7719 c=9.5341 alpha=114.45 beta=114.45 gamma=50.70
Fractional positions:
Li 0.0949 0.0949 0.2752
Li 0.2874 0.2874 0.8511
Li 0.7126 0.7126 0.1489
Li 0.9051 0.9051 0.7248
Cu 0.5000 0.5000 0.5000
Au 0.0000 0.0000 0.5000
Au 0.1345 0.1345 0.0111
Au 0.2908 0.2908 0.5810
Au 0.4260 0.4260 0.1923
Au 0.5740 0.5740 0.8077
Au 0.7092 0.7092 0.4190
Au 0.8655 0.8655 0.9889

Computed properties:
Total moment = 0.000 μB per formula unit
Polymorph energy (0 for the lowest one) = 4.65 kJ per mole of atoms
Formation enthalpy at 0 K = -0.261 eV/atom
Density of states at the Fermi level = 0.319 states/eV/atom
Space-group type = C2/m, No. 12

***

Record 12
Entry from Alexandria via LeMat-Bulk: an optimized crystal structure of NaOsCl6 (GGA-PBE).

Unit cell a=7.0158 b=7.0158 c=7.0158 alpha=55.29 beta=55.29 gamma=55.29
Fractional positions:
Na 0.0000 0.0000 0.0000
Os 0.5000 0.5000 0.5000
Cl 0.1214 0.4494 0.7041
Cl 0.2959 0.8786 0.5506
Cl 0.4494 0.7041 0.1214
Cl 0.5506 0.2959 0.8786
Cl 0.7041 0.1214 0.4494
Cl 0.8786 0.5506 0.2959

Computed properties:
Total moment = 3.001 μB per formula unit
Polymorph energy (0 for the lowest one) = 1.08 kJ per mole of atoms
Formation energy from raw total energies = -72 kJ/mol of atoms
Space-group type = R-3, No. 148

***

Record 13
Entry from Alexandria via LeMat-Bulk: an optimized crystal structure of TlSnAu (GGA-PBE).

Unit cell a=8.0428 b=4.7015 c=8.2425 alpha=90.00 beta=90.00 gamma=90.00
Fractional positions:
Tl 0.0154 0.2500 0.1621
Tl 0.4846 0.7500 0.6621
Tl 0.5154 0.2500 0.3379
Tl 0.9846 0.7500 0.8379
Sn 0.1465 0.2500 0.5750
Sn 0.3535 0.7500 0.0750
Sn 0.6465 0.2500 0.9250
Sn 0.8535 0.7500 0.4250
Au 0.2079 0.7500 0.3888
Au 0.2921 0.2500 0.8888
Au 0.7079 0.7500 0.1112
Au 0.7921 0.2500 0.6112

Computed properties:
Total moment = 0.000 μB per formula unit
Formation enthalpy at 0 K = -0.114 eV/atom
Density of states at the Fermi level = 0.450 states/eV/atom
Space-group type = Pnma, No. 62

***

Record 14
Entry from Alexandria via LeMat-Bulk: an optimized crystal structure of Rb3Pa4O12 (GGA-PBE).

Unit cell a=7.5789 b=7.5789 c=7.5789 alpha=109.47 beta=109.47 gamma=109.47
Fractional positions:
Rb 0.0000 0.5000 0.5000
Rb 0.5000 0.0000 0.5000
Rb 0.5000 0.5000 0.0000
Pa 0.0000 0.0000 0.5000
Pa 0.0000 0.5000 0.0000
Pa 0.5000 0.0000 0.0000
Pa 0.5000 0.5000 0.5000
O 0.0000 0.2543 0.7457
O 0.0000 0.7457 0.2543
O 0.2543 0.0000 0.7457
O 0.2543 0.2543 0.5086
O 0.2543 0.5086 0.2543
O 0.2543 0.7457 0.0000
O 0.4914 0.7457 0.7457
O 0.5086 0.2543 0.2543
O 0.7457 0.0000 0.2543
O 0.7457 0.2543 0.0000
O 0.7457 0.4914 0.7457
O 0.7457 0.7457 0.4914

Computed properties:
Total moment = 0.000 μB per formula unit
Formation energy from raw total energies = -297 kJ/mol of atoms
Density of states at the Fermi level = 0.731 states/eV/atom
Space-group type = Im-3m, No. 229

***

Record 15
Entry from Alexandria via LeMat-Bulk: an optimized crystal structure of Cd2In2Pd (GGA-PBE).

Unit cell a=7.2274 b=7.2274 c=4.4444 alpha=90.00 beta=90.00 gamma=90.00
Fractional positions:
Cd 0.1436 0.3564 0.0000
Cd 0.3564 0.8564 0.0000
Cd 0.6436 0.1436 0.0000
Cd 0.8564 0.6436 0.0000
In 0.1687 0.6687 0.5000
In 0.3313 0.1687 0.5000
In 0.6687 0.8313 0.5000
In 0.8313 0.3313 0.5000
Pd 0.0000 0.0000 0.0000
Pd 0.5000 0.5000 0.0000

Computed properties:
Total moment = 0.000 μB per formula unit
Polymorph energy (0 for the lowest one) = 18.92 kJ per mole of atoms
Formation enthalpy at 0 K = 0.028 eV/atom
Density of states at the Fermi level = 0.377 states/eV/atom
Space-group type = P4/mbm, No. 127

***

Record 16
Entry from Alexandria via LeMat-Bulk: an optimized crystal structure of Y2TaRe (GGA-PBE).

Unit cell a=3.0301 b=3.0301 c=9.9498 alpha=90.00 beta=90.00 gamma=110.01
Fractional positions:
Y 0.0000 0.0000 0.2294
Y 0.0000 0.0000 0.7706
Ta 0.5000 0.5000 0.5000
Re 0.5000 0.5000 0.0000

Computed properties:
Total moment = 0.000 μB per formula unit
Polymorph energy (0 for the lowest one) = 48.84 kJ per mole of atoms
Formation enthalpy at 0 K = 0.540 eV/atom
Density of states at the Fermi level = 1.352 states/eV/atom
Space-group type = Cmmm, No. 65

***

Record 17
Entry from Alexandria via LeMat-Bulk: an optimized crystal structure of MgCdF3 (GGA-PBE).

Unit cell a=4.4323 b=4.4323 c=4.4323 alpha=90.00 beta=90.00 gamma=90.00
Fractional positions:
Mg 0.0000 0.0000 0.0000
Cd 0.5000 0.5000 0.5000
F 0.0000 0.5000 0.5000
F 0.5000 0.0000 0.5000
F 0.5000 0.5000 0.0000

Computed properties:
Total moment = 0.000 μB per formula unit
Polymorph energy (0 for the lowest one) = 70.51 kJ per mole of atoms
Formation energy from raw total energies = -175 kJ/mol of atoms
Density of states at the Fermi level = 0.310 states/eV/atom
Space-group type = Pm-3m, No. 221

***

Record 18
Entry from Alexandria via LeMat-Bulk: an optimized crystal structure of KInB2 (GGA-PBE).

Unit cell a=4.6210 b=4.6210 c=4.6210 alpha=60.00 beta=60.00 gamma=60.00
Fractional positions:
K 0.0000 0.0000 0.0000
In 0.5000 0.5000 0.5000
B 0.2500 0.2500 0.2500
B 0.7500 0.7500 0.7500

Computed properties:
Total moment = 0.000 μB per formula unit
Polymorph energy (0 for the lowest one) = 36.13 kJ per mole of atoms
Formation enthalpy at 0 K = 1.557 eV/atom
Density of states at the Fermi level = 0.025 states/eV/atom
Space-group type = Fm-3m, No. 225

***

Record 19
Entry from Alexandria via LeMat-Bulk: an optimized crystal structure of Rb3LiRe (GGA-PBE).

Unit cell a=6.8111 b=6.8111 c=6.8111 alpha=90.00 beta=90.00 gamma=90.00
Fractional positions:
Rb 0.0000 0.0000 0.5000
Rb 0.0000 0.5000 0.0000
Rb 0.5000 0.0000 0.0000
Li 0.5000 0.5000 0.5000
Re 0.0000 0.0000 0.0000

Computed properties:
Total moment = 3.073 μB per formula unit
Polymorph energy (0 for the lowest one) = 0.00 kJ per mole of atoms
Formation enthalpy at 0 K = 1.417 eV/atom
Density of states at the Fermi level = 6.487 states/eV/atom
Space-group type = Pm-3m, No. 221

***

Record 20
Entry from Alexandria via LeMat-Bulk: an optimized crystal structure of MnS2Br (GGA-PBE).

Unit cell a=13.2425 b=13.2425 c=13.2425 alpha=12.45 beta=12.45 gamma=12.45
Fractional positions:
Mn 0.0000 0.0000 0.0000
S 0.0560 0.0560 0.0560
S 0.9440 0.9440 0.9440
Br 0.5000 0.5000 0.5000

Computed properties:
Total moment = 2.864 μB per formula unit
Polymorph energy (0 for the lowest one) = 74.96 kJ per mole of atoms
Formation energy from raw total energies = 47 kJ/mol of atoms
Density of states at the Fermi level = 0.705 states/eV/atom
Space-group type = R-3m, No. 166

***

Record 21
Entry from Alexandria via LeMat-Bulk: an optimized crystal structure of ZnAsCl2 (GGA-PBE).

Unit cell a=10.7680 b=10.7680 c=10.7680 alpha=17.66 beta=17.66 gamma=17.66
Fractional positions:
Zn 0.0000 0.0000 0.0000
As 0.5000 0.5000 0.5000
Cl 0.3801 0.3801 0.3801
Cl 0.6199 0.6199 0.6199

Computed properties:
Total moment = 0.000 μB per formula unit
Polymorph energy (0 for the lowest one) = 10.11 kJ per mole of atoms
Formation energy from raw total energies = -31 kJ/mol of atoms
Density of states at the Fermi level = 0.397 states/eV/atom
Space-group type = R-3m, No. 166

***

Record 22
Entry from Alexandria via LeMat-Bulk: an optimized crystal structure of Cd4C3 (GGA-PBE).

Unit cell a=4.4170 b=4.4170 c=6.9706 alpha=90.00 beta=90.00 gamma=120.00
Fractional positions:
Cd 0.0000 0.0000 0.2184
Cd 0.0000 0.0000 0.7816
Cd 0.3333 0.6667 0.5000
Cd 0.6667 0.3333 0.5000
C 0.0000 0.5000 0.0000
C 0.5000 0.0000 0.0000
C 0.5000 0.5000 0.0000

Computed properties:
Total moment = 0.000 μB per formula unit
Polymorph energy (0 for the lowest one) = 36.88 kJ per mole of atoms
Formation enthalpy at 0 K = 1.999 eV/atom
Density of states at the Fermi level = 0.278 states/eV/atom
Space-group type = P6/mmm, No. 191

***

Record 23
Entry from Alexandria via LeMat-Bulk: an optimized crystal structure of Na2CaVCu (GGA-PBE).

Unit cell a=5.5357 b=5.5357 c=4.8014 alpha=90.00 beta=90.00 gamma=90.00
Fractional positions:
Na 0.0000 0.5000 0.0000
Na 0.5000 0.0000 0.0000
Ca 0.0000 0.0000 0.5000
V 0.5000 0.5000 0.0000
Cu 0.5000 0.5000 0.5000

Computed properties:
Total moment = 3.738 μB per formula unit
Formation enthalpy at 0 K = 0.813 eV/atom
Density of states at the Fermi level = 0.831 states/eV/atom
Space-group type = P4/mmm, No. 123

***

Record 24
Entry from Alexandria via LeMat-Bulk: an optimized crystal structure of MnCrCd4 (GGA-PBE).

Unit cell a=5.6188 b=5.6188 c=5.6188 alpha=60.00 beta=60.00 gamma=60.00
Fractional positions:
Mn 0.0000 0.0000 0.0000
Cr 0.2500 0.2500 0.2500
Cd 0.1250 0.6250 0.6250
Cd 0.6250 0.1250 0.6250
Cd 0.6250 0.6250 0.1250
Cd 0.6250 0.6250 0.6250

Computed properties:
Total moment = 8.292 μB per formula unit
Formation enthalpy at 0 K = 0.472 eV/atom
Density of states at the Fermi level = 0.645 states/eV/atom
Space-group type = F-43m, No. 216